Run a
A relaxed structure of Ag2RuPt. Source: Alexandria, functional GGA-PBEsol.

Cell lengths 3.851, 3.851, 4.981 Å; angles 112.74, 112.74, 90.00 degrees
Element x y z (fractional)
Ag: 0.250 0.750 0.500
Pt: 0.500 0.500 0.000
Ru: 0.000 0.000 0.000
Ag: 0.750 0.250 0.500

Total moment in μB per formula unit: 2.15

---

Run b
A relaxed structure of Ag2RuPt. Source: Alexandria, functional GGA-PBEsol.

Cell lengths 2.707, 4.784, 4.784 Å; angles 90.00, 90.00, 90.00 degrees
Element x y z (fractional)
Pt: 0.500 0.500 0.500
Ag: 0.000 0.000 0.500
Ag: 0.000 0.500 0.000
Ru: 0.500 0.000 0.000

Total moment in μB per formula unit: 0.00

---

It is run a that is most stable; the runner-up trails by 131 meV per atom.